1.
LaPd2Au9 | PBE | optimized geometry

Results
mass density = 15.0 g cm⁻³
DOS at the Fermi energy = 0.370 states/eV/atom
symmetry = I4_1/amd (141)
energy above the lowest structure with this stoichiometry = 0.0 kJ/mol of atoms
total magnetic moment = 0.0 μB/f.u.
energy of formation from the pure elements = -254 meV/atom
total DFT energy (no corrections) = -47.9 eV/f.u.

Geometry as POSCAR:
```
LaPd2Au9
1.0
-0.131 3.054 6.687
0.506 -5.729 6.669
7.915 2.106 3.235
Au Pd La
18 4 2
direct
0.431 0.823 0.418
0.004 0.677 0.918
0.004 0.918 0.677
0.431 0.418 0.823
0.750 0.500 0.500
0.319 0.677 0.082
0.078 0.918 0.323
0.000 0.000 0.000
0.078 0.323 0.918
0.672 0.177 0.582
0.672 0.582 0.177
0.746 0.823 0.582
0.151 0.177 0.418
0.599 0.082 0.323
0.746 0.582 0.823
0.151 0.418 0.177
0.319 0.082 0.677
0.599 0.323 0.082
0.875 0.750 0.250
0.375 0.750 0.750
0.875 0.250 0.250
0.875 0.250 0.750
0.500 0.000 0.000
0.250 0.500 0.500
```

2.
BeFeSiNi | PBE | optimized geometry

Results
mass density = 6.4 g cm⁻³
DOS at the Fermi energy = 0.396 states/eV/atom
symmetry = F-43m (216)
energy relative to the elements, uncorrected = -482 meV/atom
total magnetic moment = 0.0 μB/f.u.
total DFT energy (no corrections) = -25.3 eV/f.u.

Geometry as POSCAR:
```
BeFeSiNi
1.0
3.817 0.000 0.000
1.908 3.305 0.000
1.908 1.102 3.116
Si Fe Be Ni
1 1 1 1
direct
0.750 0.750 0.750
0.000 0.000 0.000
0.250 0.250 0.250
0.500 0.500 0.500
```

3.
Be2ZnHgIr | PBE | optimized geometry

Results
mass density = 9.8 g cm⁻³
DOS at the Fermi energy = 0.518 states/eV/atom
symmetry = P4/mmm (123)
total magnetic moment = 0.0 μB/f.u.
energy of formation from the pure elements = 872 meV/atom
total DFT energy (no corrections) = -13.5 eV/f.u.

Geometry as POSCAR:
```
Be2ZnHgIr
1.0
4.147 0.000 0.000
0.000 4.672 0.000
0.000 0.000 4.147
Hg Ir Be Zn
1 1 2 1
direct
0.500 0.500 0.500
0.000 0.500 0.000
0.500 0.000 0.000
0.000 0.000 0.500
0.000 0.000 0.000
```